AlGe2MoO: optimized geometry, PBE+U.

Properties
Spin magnetization = 2.81 μB per formula unit
DFT total energy = -20.185 eV/cell
DOS at the Fermi energy = 3.82 states/eV per cell

```
AlGe2MoO
1.0
4.8903 0.0000 0.0000
0.0000 5.0331 0.0000
0.0000 0.0000 4.8903
Mo Ge O Al
1 2 1 1
direct
0.0000 0.0000 0.0000
0.0000 0.0000 0.5000
0.5000 0.0000 0.0000
0.5000 0.5000 0.5000
0.0000 0.5000 0.0000
```